Computed, not measured: a geometry-optimized TcRu2Rh structure at the PBE level of DFT.

Output
ΔE to the lowest computed polymorph: 435.6 meV/atom
Energy relative to the elements: 0.360 eV per atom
Mass density: 11.54 Mg/m³

Cell: 2.685 4.552 4.753 Å, 90.00 93.12 90.00°
Fractional positions:
Tc: 0.000 0.000 0.000
Ru: 0.304 0.500 0.744
Ru: 0.696 0.500 0.256
Rh: 0.500 0.000 0.500

Computed, not measured: a geometry-optimized HgI2 structure at the PBE level of DFT.

Output
E_form (uncorrected): 0.091 eV per atom
Mass density: 5.69 Mg/m³

Cell: 3.254 3.254 12.526 Å, 90.00 90.00 90.00°
Fractional positions:
Hg: 0.000 0.000 0.000
I: 0.000 0.000 0.308
I: 0.000 0.000 0.692

Computed, not measured: a geometry-optimized TbUPb2O8 structure at the PBE level of DFT.

Output
E_form (uncorrected): -2.176 eV per atom
Mass density: 8.30 Mg/m³

Cell: 5.191 5.191 6.973 Å, 90.00 90.00 90.25°
Fractional positions:
Tb: 0.000 0.000 0.000
U: 0.000 0.000 0.500
Pb: 0.500 0.500 0.248
Pb: 0.500 0.500 0.752
O: 0.180 0.820 0.273
O: 0.180 0.820 0.727
O: 0.297 0.297 0.500
O: 0.309 0.309 0.000
O: 0.691 0.691 0.000
O: 0.703 0.703 0.500
O: 0.820 0.180 0.273
O: 0.820 0.180 0.727

Computed, not measured: a geometry-optimized KZr2Ir structure at the PBE level of DFT.

Output
ΔE to the lowest computed polymorph: 301.4 meV/atom
Energy relative to the elements: 0.295 eV per atom
Mass density: 6.76 Mg/m³

Cell: 3.154 5.822 11.071 Å, 90.00 90.00 90.00°
Fractional positions:
K: 0.000 0.000 0.000
K: 0.500 0.500 0.500
Zr: 0.000 0.500 0.193
Zr: 0.000 0.500 0.807
Zr: 0.500 0.000 0.307
Zr: 0.500 0.000 0.693
Ir: 0.000 0.000 0.500
Ir: 0.500 0.500 0.000